The following is a DFT calculation (PBE) of Mo2RuSe after structural relaxation.

The structure belongs to space group I-4m2 (No. 119); the cell edges are 3.783, 3.783 and 8.598 Å and the angles 90.00°, 90.00° and 90.00°. The inequivalent atoms are Mo at (0.000, 0.000, 0.000), Mo at (0.000, 0.500, 0.250), Ru at (0.000, 0.500, 0.750) and Se at (0.000, 0.000, 0.500).

For the uncorrected formation energy, the calculation gives 0.40 eV per atom. The calculation puts the calculated total energy at -8.21 eV/atom. Its total moment is 0.0 μB/cell. For the calculated density, the calculation gives 10.04 g/cm³. The density of states at the Fermi level comes out at 1.357 states/eV per atom.